[1]
CrRe2S: relaxed, GGA-PBE.

Calculated volume ... 18.8 Å³ per atom
Calculated total energy ... -8.7175 eV per atom
E_form (uncorrected) ... 0.94 eV/atom

Cell lengths 5.2897, 5.2897, 6.5433 Å; angles 66.16, 66.16, 90.00 degrees
Fractional coordinates of all 8 atoms:
Re 0.6188 0.1250 0.2500
Re 0.1312 0.6250 0.2500
Re 0.3750 0.3812 0.7500
Re 0.8750 0.8688 0.7500
S 0.5000 0.5000 0.0000
S 0.2500 0.7500 0.5000
Cr 0.0000 0.0000 0.0000
Cr 0.7500 0.2500 0.5000



[2]
BiSb2PdPt: relaxed, GGA-PBE.

Calculated volume ... 27.6 Å³ per atom
Calculated total energy ... -4.0940 eV per atom
E_form (uncorrected) ... 0.58 eV/atom

Cell lengths 5.0633, 5.3887, 5.0633 Å; angles 90.00, 90.00, 90.00 degrees
Fractional coordinates of all 5 atoms:
Sb 0.0000 0.0000 0.5000
Sb 0.5000 0.0000 0.0000
Pd 0.0000 0.0000 0.0000
Bi 0.0000 0.5000 0.0000
Pt 0.5000 0.5000 0.5000



[3]
BaP2CS: relaxed, GGA-PBE.

Energy above the lowest structure with this stoichiometry ... 0 kJ/mol of formula units
Calculated volume ... 20.4 Å³ per atom
Calculated total energy ... -4.6871 eV per atom
E_form (uncorrected) ... 0.53 eV/atom

Cell lengths 4.2219, 4.2219, 5.7216 Å; angles 90.00, 90.00, 90.00 degrees
Fractional coordinates of all 5 atoms:
C 0.0000 0.0000 0.0000
P 0.0000 0.5000 0.0000
P 0.5000 0.0000 0.0000
S 0.0000 0.0000 0.5000
Ba 0.5000 0.5000 0.5000